Record 1
DFT (SCAN) results for a crystal of BaInTc2 relaxed with PBEsol.

a b c (Å): 4.205 4.205 7.043
angles (deg): 72.63 72.63 60.00
Element x y z (fractional)
Ba  0.509  0.509  0.472
In  0.712  0.712  0.863
Tc  0.980  0.980  0.060
Tc  0.297  0.297  0.110

Results
**Magnetization**: 0.0 μB per cell
**Energy of formation**: 0.15 eV/atom
**Space-group type**: R3m (160)


Record 2
DFT (SCAN) results for a crystal of BaInTc relaxed with PBEsol.

a b c (Å): 4.631 4.631 4.701
angles (deg): 90.00 90.00 120.00
Element x y z (fractional)
Ba  0.000  0.000  0.000
In  0.333  0.667  0.500
Tc  0.667  0.333  0.500

Results
**Magnetization**: 2.1 μB per cell
**Energy of formation**: 0.46 eV/atom
**Space-group type**: P-6m2 (187)